Material: LiMo6Se8
Method: DFT, PBE
State: optimized geometry

a b c (Å): 9.7033 9.7033 11.4405
angles (deg): 90.00 90.00 120.00
Space group R-3 (No. 148, hexagonal axes)
Asymmetric unit:
Li: 0.0000 0.0000 0.0000
Mo: 0.0181 0.8495 0.3998
Se: 0.0000 0.0000 0.2231
Se: 0.0052 0.6281 0.2503

Computed properties:
- total DFT energy (no corrections) (eV/atom) = -6.92
- spin magnetization (μB per atom) = 0.00

***

Material: CsAgIr
Method: DFT, PBE
State: optimized geometry

a b c (Å): 6.945 6.945 6.945
angles (deg): 90.00 90.00 90.00
Space group F-43m (No. 216)
Asymmetric unit:
Cs: 0.000 0.000 0.000
Ag: 0.000 0.000 0.500
Ir: 0.250 0.250 0.750

Computed properties:
- total DFT energy (no corrections) (eV/atom) = -2.87
- spin magnetization (μB per atom) = 0.23
- energy above the most stable polymorph in this dataset (eV per formula unit) = 0.000

***

Material: NaNbF3
Method: DFT, PBE
State: optimized geometry

a b c (Å): 4.240 4.240 4.240
angles (deg): 90.00 90.00 90.00
Space group Pm-3m (No. 221)
Asymmetric unit:
Na: 0.000 0.000 0.000
Nb: 0.500 0.500 0.500
F: 0.000 0.500 0.500

Computed properties:
- total DFT energy (no corrections) (eV/atom) = -5.44
- spin magnetization (μB per atom) = 0.55
- energy above the most stable polymorph in this dataset (eV per formula unit) = 0.646